The following is a DFT calculation (PBE-GGA) of an optimized crystal structure of CsHoCuTe2.

Computed properties:
- ΔE_f (raw): -3.79 eV/f.u.

abc: 9.0530 4.4894 8.8838
angles: 90.00 94.09 90.00
Space group P2/c (No. 13)
Inequivalent atoms, fractional coordinates:
Cs: 0.0000 0.0979 0.2500 [2 per cell]
Ho: 0.5000 0.4973 0.7500 [2 per cell]
Cu: 0.5000 0.0000 0.0000 [2 per cell]
Te: 0.2803 0.3702 0.9845 [4 per cell]

=====

The following is a DFT calculation (PBE-GGA) of an optimized crystal structure of CsCu3I.

Computed properties:
- ΔE_f (raw): 3.67 eV/f.u.

abc: 5.4085 5.4085 5.4085
angles: 90.00 90.00 90.00
Space group Pm-3m (No. 221)
Inequivalent atoms, fractional coordinates:
Cs: 0.0000 0.0000 0.0000 [1 per cell]
Cu: 0.0000 0.5000 0.5000 [3 per cell]
I: 0.5000 0.5000 0.5000 [1 per cell]

=====

The following is a DFT calculation (PBE-GGA) of an optimized crystal structure of Cs2CuI8.

Computed properties:
- ΔE_f (raw): -6.42 eV/f.u.

abc: 7.5410 7.6845 11.6234
angles: 83.02 79.04 73.86
Space group P-1 (No. 2)
Inequivalent atoms, fractional coordinates:
Cs: 0.1529 0.2070 0.2494 [2 per cell]
Cu: 0.5000 0.5000 0.5000 [1 per cell]
I: 0.0530 0.2308 0.7634 [2 per cell]
I: 0.1807 0.7081 0.4312 [2 per cell]
I: 0.3521 0.0885 0.9142 [2 per cell]
I: 0.3995 0.6936 0.6739 [2 per cell]

=====

The following is a DFT calculation (PBE-GGA) of an optimized crystal structure of CsCuI3.

Computed properties:
- ΔE_f (raw): -3.47 eV/f.u.

abc: 6.9699 7.4018 10.0175
angles: 90.00 110.33 90.00
Space group P2_1 (No. 4)
Inequivalent atoms, fractional coordinates:
Cs: 0.1500 0.0000 0.3009 [2 per cell]
Cu: 0.4335 0.1108 0.8631 [2 per cell]
I: 0.0861 0.0027 0.6855 [2 per cell]
I: 0.3988 0.5026 0.3153 [2 per cell]
I: 0.4420 0.4662 0.8838 [2 per cell]

=====

The following is a DFT calculation (PBE-GGA) of an optimized crystal structure of Cs5CuI8.

Computed properties:
- ΔE_f (raw): -14.71 eV/f.u.

abc: 11.1436 11.1436 12.8196
angles: 90.00 90.00 90.00
Space group I-4 (No. 82)
Inequivalent atoms, fractional coordinates:
Cs: 0.0000 0.0000 0.0000 [2 per cell]
Cs: 0.1397 0.7239 0.3877 [8 per cell]
Cu: 0.0000 0.5000 0.7500 [2 per cell]
I: 0.0606 0.7181 0.7092 [8 per cell]
I: 0.1125 0.6916 0.0893 [8 per cell]

=====

The following is a DFT calculation (PBE-GGA) of an optimized crystal structure of CsCuI2.

Computed properties:
- ΔE_f (raw): -1.00 eV/f.u.

abc: 8.4532 8.4532 8.4532
angles: 90.00 90.00 90.00
Space group Fm-3m (No. 225)
Inequivalent atoms, fractional coordinates:
Cs: 0.0000 0.0000 0.0000 [4 per cell]
Cu: 0.0000 0.0000 0.5000 [4 per cell]
I: 0.2500 0.2500 0.2500 [8 per cell]

=====

Short version: calculated total energy = -3.920 -2.204 -2.238 -2.613 -2.534 -2.264 eV/atom, in the order given.
Short version: spin magnetization = 0.00 0.00 0.00 0.00 0.00 0.00 Bohr magnetons per cell, in the order given.